# Ac3Pt8Au PBE optimized geometry
data_Ac3Pt8Au
_cell_length_a 5.5905
_cell_length_b 5.5905
_cell_length_c 27.4022
_cell_angle_alpha 90.00
_cell_angle_beta 90.00
_cell_angle_gamma 120.00
_symmetry_space_group_name_H-M 'R 3 m'
_symmetry_Int_Tables_number 160
_symmetry_space_group_name_Hall 'R 3 -2"'
loop_
_atom_site_label
_atom_site_type_symbol
_atom_site_fract_x
_atom_site_fract_y
_atom_site_fract_z
Ac1 Ac 0.0000 0.0000 0.0000
Ac2 Ac 0.0000 0.0000 0.1305
Ac3 Ac 0.0000 0.0000 0.6112
Pt1 Pt 0.0000 0.0000 0.3106
Pt2 Pt 0.0000 0.0000 0.8110
Pt3 Pt 0.0003 0.5002 0.0605
Pt4 Pt 0.0036 0.5018 0.5609
Au1 Au 0.0000 0.0000 0.4904
# ΔH_f (0 K)	-0.911	eV per atom
# total DFT energy (no corrections)	-224.6	eV/cell